1 | DFT (PBE) results for a geometry-optimized Tb2TmSn structure.

a b c (Å): 3.4603 3.4603 35.3635
angles (deg): 90.00 90.00 120.00
Space group R-3m (No. 166, hexagonal axes)
Inequivalent atoms, fractional coordinates:
Tb1 0.0000 0.0000 0.0941 (multiplicity 6)
Tm1 0.0000 0.0000 0.0000 (multiplicity 3)
Sn1 0.0000 0.0000 0.5000 (multiplicity 3)

calculated volume = 366.7 Å³/cell

=====

2 | DFT (PBE) results for a geometry-optimized Tb2TmSn structure.

a b c (Å): 7.629 7.629 7.629
angles (deg): 90.00 90.00 90.00
Space group Fm-3m (No. 225)
Inequivalent atoms, fractional coordinates:
Tb1 0.250 0.250 0.250 (multiplicity 8)
Tm1 0.000 0.000 0.000 (multiplicity 4)
Sn1 0.000 0.000 0.500 (multiplicity 4)

calculated volume = 443.9 Å³/cell

=====

Which of them is most stable, and which least? Most stable: 2; least stable: 1.

=====

1 | DFT (PBE) results for a geometry-optimized TbTm2Sn structure.

a b c (Å): 4.777 4.777 4.764
angles (deg): 90.00 90.00 90.00
Space group P4/mmm (No. 123)
Inequivalent atoms, fractional coordinates:
Tb1 0.000 0.000 0.000 (multiplicity 1)
Tm1 0.000 0.500 0.500 (multiplicity 2)
Sn1 0.500 0.500 0.000 (multiplicity 1)

calculated volume = 108.7 Å³/cell

=====

2 | DFT (PBE) results for a geometry-optimized TbTm2Sn structure.

a b c (Å): 6.705 5.143 6.753
angles (deg): 90.00 103.99 90.00
Space group P2_1/m (No. 11)
Inequivalent atoms, fractional coordinates:
Tb1 0.126 0.250 0.409 (multiplicity 2)
Tm1 0.156 0.250 0.918 (multiplicity 2)
Tm2 0.372 0.750 0.233 (multiplicity 2)
Sn1 0.370 0.750 0.723 (multiplicity 2)

calculated volume = 225.9 Å³/cell

=====

Which of them is most stable, and which least? Most stable: 1; least stable: 2.

=====

1 | DFT (PBE) results for a geometry-optimized TbTm2Sn structure.

a b c (Å): 4.566 4.637 11.303
angles (deg): 90.00 101.60 90.00
Space group P2_1/m (No. 11)
Inequivalent atoms, fractional coordinates:
Tb1 0.191 0.250 0.385 (multiplicity 2)
Tm1 0.058 0.750 0.117 (multiplicity 2)
Tm2 0.437 0.750 0.873 (multiplicity 2)
Sn1 0.336 0.250 0.670 (multiplicity 2)

calculated volume = 234.4 Å³/cell

=====

2 | DFT (PBE) results for a geometry-optimized TbTm2Sn structure.

a b c (Å): 3.4448 3.4448 35.0637
angles (deg): 90.00 90.00 120.00
Space group R-3m (No. 166, hexagonal axes)
Inequivalent atoms, fractional coordinates:
Tb1 0.0000 0.0000 0.0000 (multiplicity 3)
Tm1 0.0000 0.0000 0.0953 (multiplicity 6)
Sn1 0.0000 0.0000 0.5000 (multiplicity 3)

calculated volume = 360.3 Å³/cell

=====

3 | DFT (PBE) results for a geometry-optimized TbTm2Sn structure.

a b c (Å): 3.669 3.669 8.587
angles (deg): 90.00 90.00 90.00
Space group P4/mmm (No. 123)
Inequivalent atoms, fractional coordinates:
Tb1 0.000 0.000 0.000 (multiplicity 1)
Tm1 0.500 0.500 0.278 (multiplicity 2)
Sn1 0.000 0.000 0.500 (multiplicity 1)

calculated volume = 115.6 Å³/cell

=====

Which of them is most stable, and which least? Most stable: 1; least stable: 2.

=====

1 | DFT (PBE) results for a geometry-optimized TbY2Sn structure.

a b c (Å): 3.791 3.791 8.318
angles (deg): 90.00 90.00 90.00
Space group P4/mmm (No. 123)
Inequivalent atoms, fractional coordinates:
Tb1 0.000 0.000 0.000 (multiplicity 1)
Y1 0.500 0.500 0.280 (multiplicity 2)
Sn1 0.000 0.000 0.500 (multiplicity 1)

calculated volume = 119.6 Å³/cell

=====

2 | DFT (PBE) results for a geometry-optimized TbY2Sn structure.

a b c (Å): 5.1457 5.1457 17.1861
angles (deg): 90.00 90.00 120.00
Space group R3m (No. 160, hexagonal axes)
Inequivalent atoms, fractional coordinates:
Tb1 0.0000 0.0000 0.0000 (multiplicity 3)
Y1 0.0000 0.0000 0.2168 (multiplicity 3)
Y2 0.0000 0.0000 0.4383 (multiplicity 3)
Sn1 0.0000 0.0000 0.8065 (multiplicity 3)

calculated volume = 394.1 Å³/cell

=====

3 | DFT (PBE) results for a geometry-optimized TbY2Sn structure.

a b c (Å): 4.838 4.838 4.799
angles (deg): 90.00 90.00 90.00
Space group P4/mmm (No. 123)
Inequivalent atoms, fractional coordinates:
Tb1 0.000 0.000 0.000 (multiplicity 1)
Y1 0.000 0.500 0.500 (multiplicity 2)
Sn1 0.500 0.500 0.000 (multiplicity 1)

calculated volume = 112.3 Å³/cell

=====

4 | DFT (PBE) results for a geometry-optimized TbY2Sn structure.

a b c (Å): 3.5246 3.5246 35.8151
angles (deg): 90.00 90.00 120.00
Space group R-3m (No. 166, hexagonal axes)
Inequivalent atoms, fractional coordinates:
Tb1 0.0000 0.0000 0.0000 (multiplicity 3)
Y1 0.0000 0.0000 0.4132 (multiplicity 6)
Sn1 0.0000 0.0000 0.5000 (multiplicity 3)

calculated volume = 385.3 Å³/cell

=====

Which of them is most stable, and which least? Most stable: 3; least stable: 4.

=====

1 | DFT (PBE) results for a geometry-optimized Tb3ZnSn3 structure.

a b c (Å): 11.404 4.460 14.941
angles (deg): 90.00 108.18 90.00
Space group C2/m (No. 12)
Inequivalent atoms, fractional coordinates:
Tb1 0.017 0.000 0.379 (multiplicity 4)
Tb2 0.101 0.000 0.921 (multiplicity 4)
Tb3 0.233 0.000 0.230 (multiplicity 4)
Zn1 0.225 0.500 0.377 (multiplicity 4)
Sn1 0.007 0.500 0.229 (multiplicity 4)
Sn2 0.125 0.500 0.076 (multiplicity 4)
Sn3 0.147 0.500 0.544 (multiplicity 4)

calculated volume = 722.1 Å³/cell

=====

2 | DFT (PBE) results for a geometry-optimized Tb3ZnSn3 structure.

a b c (Å): 9.0773 9.0773 6.1945
angles (deg): 90.00 90.00 120.00
Space group P6_3/m (No. 176)
Inequivalent atoms, fractional coordinates:
Tb1 0.0499 0.6847 0.2500 (multiplicity 6)
Zn1 0.3333 0.6667 0.7500 (multiplicity 2)
Sn1 0.0478 0.6951 0.7500 (multiplicity 6)

calculated volume = 442.0 Å³/cell

=====

Which of them is most stable, and which least? Most stable: 1; least stable: 2.

=====

1 | DFT (PBE) results for a geometry-optimized TbZr2Sn structure.

a b c (Å): 3.2063 3.2063 34.3669
angles (deg): 90.00 90.00 120.00
Space group R-3m (No. 166, hexagonal axes)
Inequivalent atoms, fractional coordinates:
Tb1 0.0000 0.0000 0.0000 (multiplicity 3)
Zr1 0.0000 0.0000 0.0930 (multiplicity 6)
Sn1 0.0000 0.0000 0.5000 (multiplicity 3)

calculated volume = 306.0 Å³/cell

=====

2 | DFT (PBE) results for a geometry-optimized TbZr2Sn structure.

a b c (Å): 4.392 4.392 10.930
angles (deg): 90.00 101.55 90.00
Space group P2_1/m (No. 11)
Inequivalent atoms, fractional coordinates:
Tb1 0.190 0.250 0.381 (multiplicity 2)
Zr1 0.054 0.750 0.108 (multiplicity 2)
Zr2 0.448 0.750 0.894 (multiplicity 2)
Sn1 0.341 0.250 0.680 (multiplicity 2)

calculated volume = 206.6 Å³/cell

=====

Which of them is most stable, and which least? Most stable: 2; least stable: 1.

=====

1 | DFT (PBE) results for a geometry-optimized TcSn4 structure.

a b c (Å): 15.028 13.052 9.745
angles (deg): 90.00 128.73 90.00
Space group C2/c (No. 15)
Inequivalent atoms, fractional coordinates:
Tc1 0.000 0.222 0.250 (multiplicity 4)
Tc2 0.213 0.427 0.842 (multiplicity 8)
Sn1 0.000 0.368 0.750 (multiplicity 4)
Sn2 0.053 0.183 0.005 (multiplicity 8)
Sn3 0.086 0.039 0.450 (multiplicity 8)
Sn4 0.113 0.380 0.245 (multiplicity 8)
Sn5 0.185 0.275 0.604 (multiplicity 8)
Sn6 0.228 0.487 0.113 (multiplicity 8)
Sn7 0.250 0.250 0.000 (multiplicity 4)

calculated volume = 1491.2 Å³/cell

=====

2 | DFT (PBE) results for a geometry-optimized TcSn4 structure.

a b c (Å): 5.989 5.989 6.653
angles (deg): 90.00 90.00 90.00
Space group P-42_1c (No. 114)
Inequivalent atoms, fractional coordinates:
Tc1 0.000 0.000 0.000 (multiplicity 2)
Sn1 0.197 0.199 0.344 (multiplicity 8)

calculated volume = 238.6 Å³/cell

=====

Which of them is most stable, and which least? Most stable: 2; least stable: 1.

=====

1 | DFT (PBE) results for a geometry-optimized TcSnTe3 structure.

a b c (Å): 5.653 5.653 5.653
angles (deg): 90.00 90.00 90.00
Space group Pm-3m (No. 221)
Inequivalent atoms, fractional coordinates:
Tc1 0.000 0.000 0.000 (multiplicity 1)
Sn1 0.500 0.500 0.500 (multiplicity 1)
Te1 0.000 0.500 0.500 (multiplicity 3)

calculated volume = 180.7 Å³/cell

=====

2 | DFT (PBE) results for a geometry-optimized TcSnTe3 structure.

a b c (Å): 5.269 5.269 5.269
angles (deg): 90.00 90.00 90.00
Space group Pm-3m (No. 221)
Inequivalent atoms, fractional coordinates:
Tc1 0.000 0.000 0.000 (multiplicity 1)
Sn1 0.500 0.500 0.500 (multiplicity 1)
Te1 0.000 0.000 0.500 (multiplicity 3)

calculated volume = 146.3 Å³/cell

=====

Which of them is most stable, and which least? Most stable: 2; least stable: 1.

=====

1 | DFT (PBE) results for a geometry-optimized TcSn3Te structure.

a b c (Å): 5.206 5.206 5.206
angles (deg): 90.00 90.00 90.00
Space group Pm-3m (No. 221)
Inequivalent atoms, fractional coordinates:
Tc1 0.000 0.000 0.000 (multiplicity 1)
Sn1 0.000 0.000 0.500 (multiplicity 3)
Te1 0.500 0.500 0.500 (multiplicity 1)

calculated volume = 141.1 Å³/cell

=====

2 | DFT (PBE) results for a geometry-optimized TcSn3Te structure.

a b c (Å): 5.766 5.766 5.766
angles (deg): 90.00 90.00 90.00
Space group Pm-3m (No. 221)
Inequivalent atoms, fractional coordinates:
Tc1 0.000 0.000 0.000 (multiplicity 1)
Sn1 0.000 0.500 0.500 (multiplicity 3)
Te1 0.500 0.500 0.500 (multiplicity 1)

calculated volume = 191.7 Å³/cell

=====

Which of them is most stable, and which least? Most stable: 1; least stable: 2.

=====

1 | DFT (PBE) results for a geometry-optimized Th3TcSn2 structure.

a b c (Å): 14.523 6.212 8.360
angles (deg): 90.00 106.74 90.00
Space group C2/c (No. 15)
Inequivalent atoms, fractional coordinates:
Th1 0.000 0.034 0.250 (multiplicity 4)
Th2 0.137 0.498 0.068 (multiplicity 8)
Tc1 0.000 0.470 0.250 (multiplicity 4)
Sn1 0.183 0.002 0.592 (multiplicity 8)

calculated volume = 722.2 Å³/cell

=====

2 | DFT (PBE) results for a geometry-optimized Th3TcSn2 structure.

a b c (Å): 12.972 4.594 11.357
angles (deg): 90.00 90.00 90.00
Space group Pnma (No. 62)
Inequivalent atoms, fractional coordinates:
Th1 0.056 0.250 0.114 (multiplicity 4)
Th2 0.122 0.750 0.548 (multiplicity 4)
Th3 0.248 0.250 0.780 (multiplicity 4)
Tc1 0.117 0.250 0.351 (multiplicity 4)
Sn1 0.005 0.250 0.699 (multiplicity 4)
Sn2 0.197 0.750 0.987 (multiplicity 4)

calculated volume = 676.8 Å³/cell

=====

Which of them is most stable, and which least? Most stable: 2; least stable: 1.